# SiMo4Ir PBEsol optimized geometry
# Fermi-level density of states	23.27	states/eV/cell
# formation energy from raw total energies	258	kJ/mol of formula units
data_SiMo4Ir
_chemical_formula_sum 'Si4 Mo16 Ir4'
_cell_length_a 7.183
_cell_length_b 7.183
_cell_length_c 7.183
_cell_angle_alpha 90.00
_cell_angle_beta 90.00
_cell_angle_gamma 90.00
_space_group_name_H-M_alt 'F -4 3 m'
_space_group_IT_number 216
_space_group_name_Hall 'F -4 2 3'
loop_
_atom_site_label
_atom_site_type_symbol
_atom_site_fract_x
_atom_site_fract_y
_atom_site_fract_z
_atom_site_occupancy
Si1 Si 0.000 0.000 0.000 1
Mo1 Mo 0.126 0.126 0.626 1
Ir1 Ir 0.250 0.250 0.250 1


# NbCuAs2Se PBEsol optimized geometry
# Fermi-level density of states	5.12	states/eV/cell
# formation energy from raw total energies	348	kJ/mol of formula units
data_NbCuAs2Se
_chemical_formula_sum 'Nb1 Cu1 As2 Se1'
_cell_length_a 4.546
_cell_length_b 4.546
_cell_length_c 4.680
_cell_angle_alpha 90.00
_cell_angle_beta 90.00
_cell_angle_gamma 90.00
_space_group_name_H-M_alt 'P 4/m m m'
_space_group_IT_number 123
_space_group_name_Hall '-P 4 2'
loop_
_atom_site_label
_atom_site_type_symbol
_atom_site_fract_x
_atom_site_fract_y
_atom_site_fract_z
_atom_site_occupancy
Nb1 Nb 0.000 0.000 0.000 1
Cu1 Cu 0.500 0.500 0.500 1
As1 As 0.000 0.500 0.500 1
Se1 Se 0.500 0.500 0.000 1


# Sc2TaCl PBEsol optimized geometry
# polymorph energy (0 for the lowest one)	0.0	meV per atom
# Fermi-level density of states	3.02	states/eV/cell
# formation energy from raw total energies	-173	kJ/mol of formula units
data_Sc2TaCl
_chemical_formula_sum 'Sc2 Ta1 Cl1'
_cell_length_a 3.066
_cell_length_b 3.066
_cell_length_c 8.256
_cell_angle_alpha 90.00
_cell_angle_beta 90.00
_cell_angle_gamma 90.00
_space_group_name_H-M_alt 'P 4/m m m'
_space_group_IT_number 123
_space_group_name_Hall '-P 4 2'
loop_
_atom_site_label
_atom_site_type_symbol
_atom_site_fract_x
_atom_site_fract_y
_atom_site_fract_z
_atom_site_occupancy
Sc1 Sc 0.000 0.000 0.250 1
Ta1 Ta 0.500 0.500 0.000 1
Cl1 Cl 0.500 0.500 0.500 1


# Br3Cl PBEsol optimized geometry
# Fermi-level density of states	1.41	states/eV/cell
# formation energy from raw total energies	27	kJ/mol of formula units
data_Br3Cl
_chemical_formula_sum 'Br3 Cl1'
_cell_length_a 4.184
_cell_length_b 4.720
_cell_length_c 6.967
_cell_angle_alpha 90.00
_cell_angle_beta 90.00
_cell_angle_gamma 90.00
_space_group_name_H-M_alt 'P m m 2'
_space_group_IT_number 25
loop_
_space_group_symop_operation_xyz
'x,y,z'
'-x,-y,z'
'-x,y,z'
'x,-y,z'
loop_
_atom_site_label
_atom_site_type_symbol
_atom_site_fract_x
_atom_site_fract_y
_atom_site_fract_z
_atom_site_occupancy
Br1 Br 0.000 0.000 0.000 1
Br2 Br 0.000 0.500 0.115 1
Br3 Br 0.500 0.000 0.516 1
Cl1 Cl 0.500 0.500 0.598 1


# Te6IrCl3 PBEsol optimized geometry
# formation energy from raw total energies	-340	kJ/mol of formula units
data_Te6IrCl3
_chemical_formula_sum 'Te36 Ir6 Cl18'
_cell_length_a 14.3212
_cell_length_b 14.3212
_cell_length_c 9.7403
_cell_angle_alpha 90.00
_cell_angle_beta 90.00
_cell_angle_gamma 120.00
_space_group_name_H-M_alt 'R -3 c'
_space_group_IT_number 167
_space_group_name_Hall '-R 3 2"c'
loop_
_atom_site_label
_atom_site_type_symbol
_atom_site_fract_x
_atom_site_fract_y
_atom_site_fract_z
_atom_site_occupancy
Te1 Te 0.0796 0.1765 0.0962 1
Ir1 Ir 0.0000 0.0000 0.2500 1
Cl1 Cl 0.0000 0.2683 0.7500 1


# TaCd PBEsol optimized geometry
# formation energy from the elements	0.319	eV per atom
# Fermi-level density of states	2.75	states/eV/cell
data_TaCd
_chemical_formula_sum 'Ta2 Cd2'
_cell_length_a 4.830
_cell_length_b 2.865
_cell_length_c 5.352
_cell_angle_alpha 90.00
_cell_angle_beta 90.00
_cell_angle_gamma 90.00
_space_group_name_H-M_alt 'P m m a'
_space_group_IT_number 51
loop_
_space_group_symop_operation_xyz
'x,y,z'
'-x,-y,-z'
'-x+1/2,-y,z'
'x+1/2,y,-z'
'x+1/2,-y,-z'
'-x+1/2,y,z'
'-x,y,-z'
'x,-y,z'
loop_
_atom_site_label
_atom_site_type_symbol
_atom_site_fract_x
_atom_site_fract_y
_atom_site_fract_z
_atom_site_occupancy
Ta1 Ta 0.250 0.000 0.125 1
Cd1 Cd 0.250 0.500 0.639 1


# Nd2Te4MoO14 PBEsol optimized geometry
# Fermi-level density of states	0.00	states/eV/cell
# formation energy from raw total energies	-3801	kJ/mol of formula units
data_Nd2Te4MoO14
_chemical_formula_sum 'Nd4 Te8 Mo2 O28'
_cell_length_a 6.905
_cell_length_b 9.947
_cell_length_c 10.048
_cell_angle_alpha 90.46
_cell_angle_beta 107.60
_cell_angle_gamma 93.79
_space_group_name_H-M_alt 'P -1'
_space_group_IT_number 2
loop_
_space_group_symop_operation_xyz
'x,y,z'
'-x,-y,-z'
loop_
_atom_site_label
_atom_site_type_symbol
_atom_site_fract_x
_atom_site_fract_y
_atom_site_fract_z
_atom_site_occupancy
Nd1 Nd 0.147 0.313 0.087 1
Nd2 Nd 0.286 0.540 0.793 1
Te1 Te 0.126 0.271 0.460 1
Te2 Te 0.238 0.611 0.286 1
Te3 Te 0.429 0.834 0.627 1
Te4 Te 0.449 0.795 0.045 1
Mo1 Mo 0.018 0.035 0.763 1
O1 O 0.003 0.420 0.869 1
O2 O 0.083 0.397 0.312 1
O3 O 0.104 0.124 0.925 1
O4 O 0.117 0.864 0.371 1
O5 O 0.138 0.114 0.233 1
O6 O 0.181 0.389 0.612 1
O7 O 0.200 0.717 0.928 1
O8 O 0.209 0.700 0.596 1
O9 O 0.238 0.989 0.723 1
O10 O 0.369 0.770 0.213 1
O11 O 0.382 0.494 0.209 1
O12 O 0.409 0.360 0.958 1
O13 O 0.430 0.284 0.464 1
O14 O 0.479 0.229 0.187 1


# LiRu3 PBEsol optimized geometry
# formation energy from the elements	0.370	eV per atom
# Fermi-level density of states	11.23	states/eV/cell
data_LiRu3
_chemical_formula_sum 'Li2 Ru6'
_cell_length_a 5.024
_cell_length_b 7.874
_cell_length_c 2.633
_cell_angle_alpha 90.00
_cell_angle_beta 90.00
_cell_angle_gamma 90.00
_space_group_name_H-M_alt 'C m m m'
_space_group_IT_number 65
_space_group_name_Hall '-C 2 2'
loop_
_atom_site_label
_atom_site_type_symbol
_atom_site_fract_x
_atom_site_fract_y
_atom_site_fract_z
_atom_site_occupancy
Li1 Li 0.000 0.000 0.000 1
Ru1 Ru 0.000 0.500 0.000 1
Ru2 Ru 0.250 0.250 0.500 1


# Hg6Sb5Br7 PBEsol optimized geometry
# formation energy from raw total energies	-553	kJ/mol of formula units
data_Hg6Sb5Br7
_chemical_formula_sum 'Hg24 Sb20 Br28'
_cell_length_a 13.019
_cell_length_b 13.019
_cell_length_c 13.019
_cell_angle_alpha 90.00
_cell_angle_beta 90.00
_cell_angle_gamma 90.00
_space_group_name_H-M_alt 'P a -3'
_space_group_IT_number 205
_space_group_name_Hall '-P 2ac 2ab 3'
loop_
_atom_site_label
_atom_site_type_symbol
_atom_site_fract_x
_atom_site_fract_y
_atom_site_fract_z
_atom_site_occupancy
Hg1 Hg 0.053 0.180 0.705 1
Sb1 Sb 0.000 0.000 0.000 1
Sb2 Sb 0.135 0.635 0.865 1
Sb3 Sb 0.239 0.239 0.239 1
Br1 Br 0.000 0.000 0.500 1
Br2 Br 0.045 0.551 0.295 1


# MnNi3Au PBEsol optimized geometry
# formation energy from the elements	1.123	eV per atom
# polymorph energy (0 for the lowest one)	0.0	meV per atom
# Fermi-level density of states	7.83	states/eV/cell
data_MnNi3Au
_chemical_formula_sum 'Mn1 Ni3 Au1'
_cell_length_a 4.160
_cell_length_b 4.160
_cell_length_c 4.160
_cell_angle_alpha 90.00
_cell_angle_beta 90.00
_cell_angle_gamma 90.00
_space_group_name_H-M_alt 'P m -3 m'
_space_group_IT_number 221
_space_group_name_Hall '-P 4 2 3'
loop_
_atom_site_label
_atom_site_type_symbol
_atom_site_fract_x
_atom_site_fract_y
_atom_site_fract_z
_atom_site_occupancy
Mn1 Mn 0.000 0.000 0.000 1
Ni1 Ni 0.000 0.000 0.500 1
Au1 Au 0.500 0.500 0.500 1


# MnFeTe2 PBEsol optimized geometry
# Fermi-level density of states	16.06	states/eV/cell
# formation energy from raw total energies	192	kJ/mol of formula units
data_MnFeTe2
_chemical_formula_sum 'Mn3 Fe3 Te6'
_cell_length_a 3.4274
_cell_length_b 3.4274
_cell_length_c 24.7125
_cell_angle_alpha 90.00
_cell_angle_beta 90.00
_cell_angle_gamma 120.00
_space_group_name_H-M_alt 'R -3 m'
_space_group_IT_number 166
_space_group_name_Hall '-R 3 2"'
loop_
_atom_site_label
_atom_site_type_symbol
_atom_site_fract_x
_atom_site_fract_y
_atom_site_fract_z
_atom_site_occupancy
Mn1 Mn 0.0000 0.0000 0.0000 1
Fe1 Fe 0.0000 0.0000 0.5000 1
Te1 Te 0.0000 0.0000 0.3995 1


# KTl2Cd PBEsol optimized geometry
# formation energy from the elements	-0.048	eV per atom
# Fermi-level density of states	1.81	states/eV/cell
data_KTl2Cd
_chemical_formula_sum 'K1 Tl2 Cd1'
_cell_length_a 3.350
_cell_length_b 4.592
_cell_length_c 7.683
_cell_angle_alpha 90.00
_cell_angle_beta 99.39
_cell_angle_gamma 90.00
_space_group_name_H-M_alt 'P 1 2/m 1'
_space_group_IT_number 10
loop_
_space_group_symop_operation_xyz
'x,y,z'
'-x,-y,-z'
'-x,y,-z'
'x,-y,z'
loop_
_atom_site_label
_atom_site_type_symbol
_atom_site_fract_x
_atom_site_fract_y
_atom_site_fract_z
_atom_site_occupancy
K1 K 0.000 0.000 0.000 1
Tl1 Tl 0.410 0.500 0.707 1
Cd1 Cd 0.000 0.000 0.500 1